# La2ZrCuRe PBE relaxed
# Density of states at the Fermi level in states/eV/cell: 6.89
# Volume in A^3/atom: 31.416
# Final energy in eV/cell: -29.062
data_La2ZrCuRe
_chemical_formula_sum 'La2 Zr1 Cu1 Re1'
_symmetry_space_group_name_H-M 'P 4/m m m'
_symmetry_Int_Tables_number 123
_symmetry_space_group_name_Hall '-P 4 2'
_cell_length_a 5.742
_cell_length_b 5.742
_cell_length_c 4.765
_cell_angle_alpha 90.00
_cell_angle_beta 90.00
_cell_angle_gamma 90.00
loop_
_atom_site_label
_atom_site_type_symbol
_atom_site_fract_x
_atom_site_fract_y
_atom_site_fract_z
La1 La 0.000 0.500 0.000
Zr1 Zr 0.000 0.000 0.000
Cu1 Cu 0.500 0.500 0.500
Re1 Re 0.000 0.000 0.500

***

# LaCuRh3 PBE relaxed
# Density of states at the Fermi level in states/eV/cell: 6.74
# Volume in A^3/atom: 19.498
# Offset from the most stable computed form in meV per atom: 0
data_LaCuRh3
_chemical_formula_sum 'La1 Cu1 Rh3'
_symmetry_space_group_name_H-M 'P m -3 m'
_symmetry_Int_Tables_number 221
_symmetry_space_group_name_Hall '-P 4 2 3'
_cell_length_a 4.602
_cell_length_b 4.602
_cell_length_c 4.602
_cell_angle_alpha 90.00
_cell_angle_beta 90.00
_cell_angle_gamma 90.00
loop_
_atom_site_label
_atom_site_type_symbol
_atom_site_fract_x
_atom_site_fract_y
_atom_site_fract_z
La1 La 0.000 0.000 0.000
Cu1 Cu 0.500 0.500 0.500
Rh1 Rh 0.000 0.500 0.500

***

The lowest density of states at the Fermi level belongs to which entry?
LaCuRh3

***

What is the density of states at the Fermi level in the first record?
6.89 states/eV/cell

***

Which value of density of states at the Fermi level does entry 2 give?
6.74 states/eV/cell

***

The lowest density of states at the Fermi level belongs to which entry?
LaCuRh3